[1]
First-principles (GGA-PBE) data for BeBiSb2 after structural relaxation, as listed in Alexandria via LeMat-Bulk.

Cell lengths 5.2178, 5.2178, 5.2178 Å; angles 60.00, 60.00, 60.00 degrees
Closest atoms and distances in Å follow each position.
Atoms (fractional coordinates):
Be (0.0000, 0.0000, 0.0000)  8 Sb 3.20
Bi (0.5000, 0.5000, 0.5000)  8 Sb 3.20
Sb (0.2500, 0.2500, 0.2500)  4 Bi 3.20, 4 Be 3.20
Sb (0.7500, 0.7500, 0.7500)  4 Bi 3.20, 4 Be 3.20

Computed properties:
* calculated volume: 25.11 A^3/atom
* formation energy without anion corrections: 625 meV per atom
* space-group type: Fm-3m, No. 225
* offset from the most stable computed form: 0.463 eV per atom
* DOS at the Fermi energy: 2.55 states/eV/cell

***

[2]
First-principles (GGA-PBE) data for YTh5 after structural relaxation, as listed in Alexandria via LeMat-Bulk.

Cell lengths 6.1394, 6.1394, 6.0183 Å; angles 90.00, 90.00, 121.32 degrees
Closest atoms and distances in Å follow each position.
Atoms (fractional coordinates):
Y (0.0000, 0.0000, 0.0000)  10 Th 3.48-3.60
Th (0.1725, 0.8275, 0.5000)  8 Th 3.44-3.69, 2 Y 3.53
Th (0.3361, 0.6639, 0.0000)  7 Th 3.48-3.53, 3 Y 3.48-3.60
Th (0.5000, 0.5000, 0.5000)  10 Th 3.48-3.53
Th (0.6639, 0.3361, 0.0000)  7 Th 3.48-3.53, 3 Y 3.48-3.60
Th (0.8275, 0.1725, 0.5000)  8 Th 3.44-3.69, 2 Y 3.53

Computed properties:
* calculated volume: 32.30 A^3/atom
* space-group type: Cmmm, No. 65
* offset from the most stable computed form: 0.078 eV per atom
* ΔE_f: 117.8 meV per atom
* DOS at the Fermi energy: 9.27 states/eV/cell

***

[3]
First-principles (GGA-PBE) data for Ac3HoGe4 after structural relaxation, as listed in Alexandria via LeMat-Bulk.

Cell lengths 6.1868, 12.7868, 6.3622 Å; angles 90.00, 90.00, 90.00 degrees
Closest atoms and distances in Å follow each position.
Atoms (fractional coordinates):
Ac (0.2500, 0.0011, 0.2170)  6 Ge 3.13-3.26
Ac (0.2500, 0.4989, 0.2170)  6 Ge 3.13-3.26
Ac (0.2500, 0.7500, 0.6961)  4 Ge 3.12-3.19
Ac (0.7500, 0.2500, 0.3039)  4 Ge 3.12-3.19
Ac (0.7500, 0.5011, 0.7830)  6 Ge 3.13-3.26
Ac (0.7500, 0.9989, 0.7830)  6 Ge 3.13-3.26
Ho (0.2500, 0.2500, 0.7569)  5 Ge 2.90-3.11
Ho (0.7500, 0.7500, 0.2431)  5 Ge 2.90-3.11
Ge (0.2500, 0.0244, 0.7060)  1 Ho 2.90, 3 Ac 3.13-3.15
Ge (0.2500, 0.2500, 0.2404)  2 Ho 3.08-3.29, 4 Ac 3.12-3.19
Ge (0.2500, 0.4756, 0.7060)  1 Ho 2.90, 3 Ac 3.13-3.15
Ge (0.2500, 0.7500, 0.1943)  2 Ho 3.11, 4 Ac 3.17-3.21
Ge (0.7500, 0.2500, 0.8057)  2 Ho 3.11, 4 Ac 3.17-3.21
Ge (0.7500, 0.5244, 0.2940)  1 Ho 2.90, 3 Ac 3.13-3.15
Ge (0.7500, 0.7500, 0.7596)  2 Ho 3.08-3.29, 4 Ac 3.12-3.19
Ge (0.7500, 0.9756, 0.2940)  1 Ho 2.90, 3 Ac 3.13-3.15

Computed properties:
* calculated volume: 31.46 A^3/atom
* space-group type: Pmmn, No. 59
* ΔE_f: -526.0 meV per atom
* DOS at the Fermi energy: 16.53 states/eV/cell

***

[4]
First-principles (GGA-PBE) data for La2Tm2Sb2H after structural relaxation, as listed in Alexandria via LeMat-Bulk.

Cell lengths 9.1009, 9.1009, 9.1009 Å; angles 150.54, 150.54, 42.14 degrees
Closest atoms and distances in Å follow each position.
Atoms (fractional coordinates):
La (0.1765, 0.1765, 0.0000)  1 H 3.00, 1 Sb 3.32
La (0.8235, 0.8235, 0.0000)  1 H 3.00, 1 Sb 3.32
Tm (0.0000, 0.5000, 0.5000)  2 H 2.31
Tm (0.5000, 0.0000, 0.5000)  2 H 2.31
Sb (0.3721, 0.3721, 0.0000)  4 Tm 3.17, 5 La 3.32-3.37
Sb (0.6279, 0.6279, 0.0000)  4 Tm 3.17, 5 La 3.32-3.37
H (0.0000, 0.0000, 0.0000)  4 Tm 2.31

Computed properties:
* DFT total energy: -5.188 eV/atom
* calculated volume: 25.98 A^3/atom
* space-group type: I4/mmm, No. 139
* DOS at the Fermi energy: 6.79 states/eV/cell

***

[5]
First-principles (GGA-PBE) data for IrPb2Au after structural relaxation, as listed in Alexandria via LeMat-Bulk.

Cell lengths 6.9511, 6.9511, 6.9511 Å; angles 153.40, 141.32, 47.56 degrees
Closest atoms and distances in Å follow each position.
Atoms (fractional coordinates):
Ir (0.0000, 0.0000, 0.0000)  6 Pb 2.81-2.98, 2 Au 2.90
Pb (0.1974, 0.6974, 0.5000)  2 Ir 2.98, 4 Au 3.15, 2 Pb 3.20
Pb (0.4817, 0.4817, 0.0000)  4 Ir 2.81
Au (0.8097, 0.3097, 0.5000)  2 Ir 2.90, 6 Pb 3.15-3.18, 2 Au 3.20

Computed properties:
* calculated volume: 23.42 A^3/atom
* space-group type: Imm2, No. 44
* offset from the most stable computed form: 0.070 eV per atom
* ΔE_f: 257.4 meV per atom
* DOS at the Fermi energy: 2.59 states/eV/cell

***

[6]
First-principles (GGA-PBE) data for Ac2CuSb after structural relaxation, as listed in Alexandria via LeMat-Bulk.

Cell lengths 5.6102, 5.6102, 5.6102 Å; angles 60.00, 60.00, 60.00 degrees
Closest atoms and distances in Å follow each position.
Atoms (fractional coordinates):
Ac (0.2500, 0.2500, 0.2500)  4 Sb 3.44, 4 Cu 3.44
Ac (0.7500, 0.7500, 0.7500)  4 Sb 3.44, 4 Cu 3.44
Cu (0.0000, 0.0000, 0.0000)  8 Ac 3.44
Sb (0.5000, 0.5000, 0.5000)  8 Ac 3.44

Computed properties:
* calculated volume: 31.21 A^3/atom
* formation energy without anion corrections: -449 meV per atom
* space-group type: Fm-3m, No. 225
* offset from the most stable computed form: 0.058 eV per atom
* DOS at the Fermi energy: 4.55 states/eV/cell

***

[7]
First-principles (GGA-PBE) data for PrNdAg2 after structural relaxation, as listed in Alexandria via LeMat-Bulk.

Cell lengths 3.7711, 3.7711, 7.5382 Å; angles 90.00, 90.00, 90.00 degrees
Closest atoms and distances in Å follow each position.
Atoms (fractional coordinates):
Pr (0.0000, 0.0000, 0.0000)  8 Ag 3.29
Nd (0.0000, 0.0000, 0.5000)  8 Ag 3.25
Ag (0.5000, 0.5000, 0.2547)  4 Nd 3.25, 4 Pr 3.29
Ag (0.5000, 0.5000, 0.7453)  4 Nd 3.25, 4 Pr 3.29

Computed properties:
* calculated volume: 26.80 A^3/atom
* space-group type: P4/mmm, No. 123
* offset from the most stable computed form: 0.000 eV per atom
* ΔE_f: -252.1 meV per atom
* DOS at the Fermi energy: 3.58 states/eV/cell

***

[8]
First-principles (GGA-PBE) data for TcTeBr3 after structural relaxation, as listed in Alexandria via LeMat-Bulk.

Cell lengths 5.0691, 5.0691, 5.0691 Å; angles 90.00, 90.00, 90.00 degrees
Closest atoms and distances in Å follow each position.
Atoms (fractional coordinates):
Tc (0.0000, 0.0000, 0.0000)  6 Br 2.53
Te (0.5000, 0.5000, 0.5000)  12 Br 3.58
Br (0.0000, 0.0000, 0.5000)  2 Tc 2.53
Br (0.0000, 0.5000, 0.0000)  2 Tc 2.53
Br (0.5000, 0.0000, 0.0000)  2 Tc 2.53

Computed properties:
* calculated volume: 26.05 A^3/atom
* formation energy without anion corrections: 399 meV per atom
* space-group type: Pm-3m, No. 221
* offset from the most stable computed form: 0.000 eV per atom
* DOS at the Fermi energy: 6.44 states/eV/cell

***

[9]
First-principles (GGA-PBE) data for Pm2Y5Tm3 after structural relaxation, as listed in Alexandria via LeMat-Bulk.

Cell lengths 9.6582, 9.6582, 9.3257 Å; angles 108.34, 108.34, 112.93 degrees
Closest atoms and distances in Å follow each position.
Atoms (fractional coordinates):
Pm (0.0183, 0.2649, 0.0439)  3 Tm 3.12-3.42, 2 Y 3.30-3.45
Pm (0.2649, 0.0183, 0.5439)  3 Tm 3.12-3.42, 2 Y 3.30-3.45
Pm (0.7351, 0.9817, 0.4561)  3 Tm 3.12-3.42, 2 Y 3.30-3.45
Pm (0.9817, 0.7351, 0.9561)  3 Tm 3.12-3.42, 2 Y 3.30-3.45
Y (0.1470, 0.3776, 0.7702)  2 Pm 3.45-3.58, 3 Tm 3.46-3.55, 3 Y 3.52-3.71
Y (0.2307, 0.7693, 0.7500)  5 Tm 3.28-3.51, 2 Pm 3.50, 2 Y 3.63
Y (0.2734, 0.7266, 0.2500)  1 Y 3.19, 4 Pm 3.30-3.57, 2 Tm 3.57
Y (0.3776, 0.1470, 0.2702)  2 Pm 3.45-3.58, 3 Tm 3.46-3.55, 3 Y 3.52-3.71
Y (0.4715, 0.5285, 0.2500)  3 Y 3.19-3.52, 4 Tm 3.32-3.46, 2 Pm 3.50
Y (0.5285, 0.4715, 0.7500)  3 Y 3.19-3.52, 4 Tm 3.32-3.46, 2 Pm 3.50
Y (0.6224, 0.8530, 0.7298)  2 Pm 3.45-3.58, 3 Tm 3.46-3.55, 3 Y 3.52-3.71
Y (0.7266, 0.2734, 0.7500)  1 Y 3.19, 4 Pm 3.30-3.57, 2 Tm 3.57
Y (0.7693, 0.2307, 0.2500)  5 Tm 3.28-3.51, 2 Pm 3.50, 2 Y 3.63
Y (0.8530, 0.6224, 0.2298)  2 Pm 3.45-3.58, 3 Tm 3.46-3.55, 3 Y 3.52-3.71
Tm (0.0270, 0.9730, 0.7500)  3 Y 3.28-3.54, 4 Pm 3.31-3.42, 2 Tm 3.38
Tm (0.2244, 0.4641, 0.4504)  1 Pm 3.12, 4 Y 3.32-3.46, 1 Tm 3.38
Tm (0.4641, 0.2244, 0.9504)  1 Pm 3.12, 4 Y 3.32-3.46, 1 Tm 3.38
Tm (0.5359, 0.7756, 0.0496)  1 Pm 3.12, 4 Y 3.32-3.46, 1 Tm 3.38
Tm (0.7756, 0.5359, 0.5496)  1 Pm 3.12, 4 Y 3.32-3.46, 1 Tm 3.38
Tm (0.9730, 0.0270, 0.2500)  3 Y 3.28-3.54, 4 Pm 3.31-3.42, 2 Tm 3.38

Computed properties:
* calculated volume: 32.93 A^3/atom
* space-group type: C2/c, No. 15
* ΔE_f: 188.0 meV per atom
* DOS at the Fermi energy: 35.75 states/eV/cell

***

[10]
First-principles (GGA-PBE) data for ScZnNiPt after structural relaxation, as listed in Alexandria via LeMat-Bulk.

Cell lengths 4.4133, 4.4133, 4.4133 Å; angles 60.00, 60.00, 60.00 degrees
Closest atoms and distances in Å follow each position.
Atoms (fractional coordinates):
Sc (0.0000, 0.0000, 0.0000)  4 Ni 2.70, 4 Pt 2.70
Zn (0.5000, 0.5000, 0.5000)  4 Pt 2.70, 4 Ni 2.70
Ni (0.7500, 0.7500, 0.7500)  4 Zn 2.70, 4 Sc 2.70
Pt (0.2500, 0.2500, 0.2500)  4 Zn 2.70, 4 Sc 2.70

Computed properties:
* calculated volume: 15.20 A^3/atom
* space-group type: F-43m, No. 216
* offset from the most stable computed form: 0.010 eV per atom
* ΔE_f: -696.2 meV per atom
* DOS at the Fermi energy: 2.44 states/eV/cell

***

[11]
First-principles (GGA-PBE) data for AlIn2Ga8 after structural relaxation, as listed in Alexandria via LeMat-Bulk.

Cell lengths 4.2056, 4.2056, 12.9468 Å; angles 90.00, 90.00, 90.00 degrees
Closest atoms and distances in Å follow each position.
Atoms (fractional coordinates):
Al (0.0000, 0.0000, 0.0000)  8 Ga 2.72
In (0.0000, 0.0000, 0.3191)  12 Ga 2.99-3.20
In (0.0000, 0.0000, 0.6809)  12 Ga 2.99-3.20
Ga (0.0000, 0.5000, 0.1327)  2 Al 2.72, 6 Ga 2.96-2.97
Ga (0.0000, 0.5000, 0.5000)  4 Ga 2.97, 4 In 3.15
Ga (0.0000, 0.5000, 0.8673)  2 Al 2.72, 6 Ga 2.96-2.97
Ga (0.5000, 0.0000, 0.1327)  2 Al 2.72, 6 Ga 2.96-2.97
Ga (0.5000, 0.0000, 0.5000)  4 Ga 2.97, 4 In 3.15
Ga (0.5000, 0.0000, 0.8673)  2 Al 2.72, 6 Ga 2.96-2.97
Ga (0.5000, 0.5000, 0.2940)  4 Ga 2.96, 4 In 2.99
Ga (0.5000, 0.5000, 0.7060)  4 Ga 2.96, 4 In 2.99

Computed properties:
* calculated volume: 20.82 A^3/atom
* space-group type: P4/mmm, No. 123
* ΔE_f: 48.2 meV per atom
* DOS at the Fermi energy: 1.91 states/eV/cell

***

[12]
First-principles (GGA-PBE) data for Mn3TcSe after structural relaxation, as listed in Alexandria via LeMat-Bulk.

Cell lengths 4.2469, 4.2469, 4.2469 Å; angles 90.00, 90.00, 90.00 degrees
Closest atoms and distances in Å follow each position.
Atoms (fractional coordinates):
Mn (0.0000, 0.0000, 0.5000)  2 Se 2.12
Mn (0.0000, 0.5000, 0.0000)  2 Se 2.12
Mn (0.5000, 0.0000, 0.0000)  2 Se 2.12
Tc (0.5000, 0.5000, 0.5000)  12 Mn 3.00
Se (0.0000, 0.0000, 0.0000)  6 Mn 2.12

Computed properties:
* calculated volume: 15.32 A^3/atom
* formation energy without anion corrections: 1246 meV per atom
* space-group type: Pm-3m, No. 221
* offset from the most stable computed form: 0.118 eV per atom
* DOS at the Fermi energy: 11.28 states/eV/cell

***

> Which of these has the highest calculated volume?

Pm2Y5Tm3

***

> Which of these has the highest DOS at the Fermi energy?

Pm2Y5Tm3